Record 1
# Tc2MoSe

Crystalline Tc2MoSe at its relaxed geometry (PBE, Alexandria via LeMat-Bulk).

Structure (CIF):
```
data_Tc2MoSe
_chemical_formula_sum 'Tc4 Mo2 Se2'
_cell_length_a 3.738
_cell_length_b 3.738
_cell_length_c 8.698
_cell_angle_alpha 90.00
_cell_angle_beta 90.00
_cell_angle_gamma 90.00
_symmetry_space_group_name_H-M 'I -4 m 2'
_symmetry_Int_Tables_number 119
_symmetry_space_group_name_Hall 'I -4 -2'
loop_
_atom_site_label
_atom_site_type_symbol
_atom_site_fract_x
_atom_site_fract_y
_atom_site_fract_z
Tc1 Tc 0.000 0.000 0.000
Tc2 Tc 0.000 0.500 0.250
Mo1 Mo 0.000 0.500 0.750
Se1 Se 0.000 0.000 0.500
```

Computed properties:
Size of the total moment, μB per formula unit: 0.0
Total DFT energy (no corrections), Ha/atom: -0.3079
Formation energy (no corrections), eV per atom: 0.385

***

Record 2
# Tc2MoSe

Crystalline Tc2MoSe at its relaxed geometry (PBE, Alexandria via LeMat-Bulk).

Structure (CIF):
```
data_Tc2MoSe
_chemical_formula_sum 'Tc2 Mo1 Se1'
_cell_length_a 2.895
_cell_length_b 4.104
_cell_length_c 5.327
_cell_angle_alpha 90.00
_cell_angle_beta 104.41
_cell_angle_gamma 90.00
_symmetry_space_group_name_H-M 'P 1 m 1'
_symmetry_Int_Tables_number 6
_symmetry_space_group_name_Hall 'P -2y'
loop_
_atom_site_label
_atom_site_type_symbol
_atom_site_fract_x
_atom_site_fract_y
_atom_site_fract_z
Tc1 Tc 0.000 0.000 0.000
Tc2 Tc 0.362 0.500 0.742
Mo1 Mo 0.681 0.500 0.247
Se1 Se 0.283 0.000 0.476
```

Computed properties:
Size of the total moment, μB per formula unit: 0.0
Total DFT energy (no corrections), Ha/atom: -0.3149
Formation energy (no corrections), eV per atom: 0.194

***

Record 3
# Tc2MoSe

Crystalline Tc2MoSe at its relaxed geometry (PBE, Alexandria via LeMat-Bulk).

Structure (CIF):
```
data_Tc2MoSe
_chemical_formula_sum 'Tc2 Mo1 Se1'
_cell_length_a 2.988
_cell_length_b 2.988
_cell_length_c 6.745
_cell_angle_alpha 90.00
_cell_angle_beta 90.00
_cell_angle_gamma 90.00
_symmetry_space_group_name_H-M 'P 4 m m'
_symmetry_Int_Tables_number 99
_symmetry_space_group_name_Hall 'P 4 -2'
loop_
_atom_site_label
_atom_site_type_symbol
_atom_site_fract_x
_atom_site_fract_y
_atom_site_fract_z
Tc1 Tc 0.000 0.000 0.000
Tc2 Tc 0.500 0.500 0.244
Mo1 Mo 0.000 0.000 0.512
Se1 Se 0.500 0.500 0.747
```

Computed properties:
Size of the total moment, μB per formula unit: 0.0
Total DFT energy (no corrections), Ha/atom: -0.3198
Formation energy (no corrections), eV per atom: 0.058

***

Record 4
# TcMoSe4

Crystalline TcMoSe4 at its relaxed geometry (PBE, Alexandria via LeMat-Bulk).

Structure (CIF):
```
data_TcMoSe4
_chemical_formula_sum 'Tc2 Mo2 Se8'
_cell_length_a 14.587
_cell_length_b 3.234
_cell_length_c 6.006
_cell_angle_alpha 90.00
_cell_angle_beta 101.71
_cell_angle_gamma 90.00
_symmetry_space_group_name_H-M 'C 1 m 1'
_symmetry_Int_Tables_number 8
_symmetry_space_group_name_Hall 'C -2y'
loop_
_atom_site_label
_atom_site_type_symbol
_atom_site_fract_x
_atom_site_fract_y
_atom_site_fract_z
Tc1 Tc 0.000 0.000 0.000
Mo1 Mo 0.008 0.500 0.397
Se1 Se 0.102 0.500 0.822
Se2 Se 0.133 0.000 0.335
Se3 Se 0.375 0.000 0.063
Se4 Se 0.405 0.500 0.585
```

Computed properties:
Size of the total moment, μB per formula unit: 0.0
Total DFT energy (no corrections), Ha/atom: -0.2342
Formation energy (no corrections), eV per atom: -0.517

***

Record 5
# Tc2MoSe

Crystalline Tc2MoSe at its relaxed geometry (PBE, Alexandria via LeMat-Bulk).

Structure (CIF):
```
data_Tc2MoSe
_chemical_formula_sum 'Tc2 Mo1 Se1'
_cell_length_a 2.913
_cell_length_b 4.120
_cell_length_c 5.257
_cell_angle_alpha 90.00
_cell_angle_beta 103.51
_cell_angle_gamma 90.00
_symmetry_space_group_name_H-M 'P 1 2/m 1'
_symmetry_Int_Tables_number 10
_symmetry_space_group_name_Hall '-P 2y'
loop_
_atom_site_label
_atom_site_type_symbol
_atom_site_fract_x
_atom_site_fract_y
_atom_site_fract_z
Tc1 Tc 0.126 0.000 0.255
Mo1 Mo 0.500 0.500 0.000
Se1 Se 0.500 0.500 0.500
```

Computed properties:
Size of the total moment, μB per formula unit: 0.0
Total DFT energy (no corrections), Ha/atom: -0.3119
Formation energy (no corrections), eV per atom: 0.276

***

Record 6
# Tc4MoSe

Crystalline Tc4MoSe at its relaxed geometry (PBE, Alexandria via LeMat-Bulk).

Structure (CIF):
```
data_Tc4MoSe
_chemical_formula_sum 'Tc16 Mo4 Se4'
_cell_length_a 7.281
_cell_length_b 7.281
_cell_length_c 7.281
_cell_angle_alpha 90.00
_cell_angle_beta 90.00
_cell_angle_gamma 90.00
_symmetry_space_group_name_H-M 'F -4 3 m'
_symmetry_Int_Tables_number 216
_symmetry_space_group_name_Hall 'F -4 2 3'
loop_
_atom_site_label
_atom_site_type_symbol
_atom_site_fract_x
_atom_site_fract_y
_atom_site_fract_z
Tc1 Tc 0.125 0.125 0.125
Mo1 Mo 0.250 0.250 0.750
Se1 Se 0.000 0.000 0.500
```

Computed properties:
Size of the total moment, μB per formula unit: 0.0
Total DFT energy (no corrections), Ha/atom: -0.3190
Formation energy (no corrections), eV per atom: 0.617

***

Record 7
# Tc2Mo2Se

Crystalline Tc2Mo2Se at its relaxed geometry (PBE, Alexandria via LeMat-Bulk).

Structure (CIF):
```
data_Tc2Mo2Se
_chemical_formula_sum 'Tc4 Mo4 Se2'
_cell_length_a 7.527
_cell_length_b 7.527
_cell_length_c 2.944
_cell_angle_alpha 90.00
_cell_angle_beta 90.00
_cell_angle_gamma 90.00
_symmetry_space_group_name_H-M 'P 4/m b m'
_symmetry_Int_Tables_number 127
_symmetry_space_group_name_Hall '-P 4 2ab'
loop_
_atom_site_label
_atom_site_type_symbol
_atom_site_fract_x
_atom_site_fract_y
_atom_site_fract_z
Tc1 Tc 0.136 0.364 0.000
Mo1 Mo 0.154 0.654 0.500
Se1 Se 0.000 0.000 0.500
```

Computed properties:
Size of the total moment, μB per formula unit: 0.0
Total DFT energy (no corrections), Ha/atom: -0.3233
Formation energy (no corrections), eV per atom: 0.378

***

Record 8
# Tc3MoSe

Crystalline Tc3MoSe at its relaxed geometry (PBE, Alexandria via LeMat-Bulk).

Structure (CIF):
```
data_Tc3MoSe
_chemical_formula_sum 'Tc3 Mo1 Se1'
_cell_length_a 4.471
_cell_length_b 4.471
_cell_length_c 4.471
_cell_angle_alpha 90.00
_cell_angle_beta 90.00
_cell_angle_gamma 90.00
_symmetry_space_group_name_H-M 'P m -3 m'
_symmetry_Int_Tables_number 221
_symmetry_space_group_name_Hall '-P 4 2 3'
loop_
_atom_site_label
_atom_site_type_symbol
_atom_site_fract_x
_atom_site_fract_y
_atom_site_fract_z
Tc1 Tc 0.000 0.000 0.500
Mo1 Mo 0.500 0.500 0.500
Se1 Se 0.000 0.000 0.000
```

Computed properties:
Size of the total moment, μB per formula unit: 0.0
Total DFT energy (no corrections), Ha/atom: -0.2863
Formation energy (no corrections), eV per atom: 1.292

***

Record 9
# TcMoSe

Crystalline TcMoSe at its relaxed geometry (PBE, Alexandria via LeMat-Bulk).

Structure (CIF):
```
data_TcMoSe
_chemical_formula_sum 'Tc1 Mo1 Se1'
_cell_length_a 2.9666
_cell_length_b 2.9666
_cell_length_c 6.2519
_cell_angle_alpha 90.00
_cell_angle_beta 90.00
_cell_angle_gamma 120.00
_symmetry_space_group_name_H-M 'P 3 m 1'
_symmetry_Int_Tables_number 156
_symmetry_space_group_name_Hall 'P 3 -2"'
loop_
_atom_site_label
_atom_site_type_symbol
_atom_site_fract_x
_atom_site_fract_y
_atom_site_fract_z
Tc1 Tc 0.0000 0.0000 0.0000
Mo1 Mo 0.6667 0.3333 0.3240
Se1 Se 0.3333 0.6667 0.6577
```

Computed properties:
Size of the total moment, μB per formula unit: 0.0
Total DFT energy (no corrections), Ha/atom: -0.2944
Formation energy (no corrections), eV per atom: 0.217

***

Record 10
# TcMo2Se

Crystalline TcMo2Se at its relaxed geometry (PBE, Alexandria via LeMat-Bulk).

Structure (CIF):
```
data_TcMo2Se
_chemical_formula_sum 'Tc2 Mo4 Se2'
_cell_length_a 9.113
_cell_length_b 3.048
_cell_length_c 4.677
_cell_angle_alpha 90.00
_cell_angle_beta 104.82
_cell_angle_gamma 90.00
_symmetry_space_group_name_H-M 'C 1 m 1'
_symmetry_Int_Tables_number 8
_symmetry_space_group_name_Hall 'C -2y'
loop_
_atom_site_label
_atom_site_type_symbol
_atom_site_fract_x
_atom_site_fract_y
_atom_site_fract_z
Tc1 Tc 0.000 0.000 0.000
Mo1 Mo 0.013 0.500 0.516
Mo2 Mo 0.234 0.500 0.127
Se1 Se 0.250 0.000 0.649
```

Computed properties:
Size of the total moment, μB per formula unit: 0.0
Total DFT energy (no corrections), Ha/atom: -0.3198
Formation energy (no corrections), eV per atom: 0.177

***

Record 11
# TcMo2Se

Crystalline TcMo2Se at its relaxed geometry (PBE, Alexandria via LeMat-Bulk).

Structure (CIF):
```
data_TcMo2Se
_chemical_formula_sum 'Tc4 Mo8 Se4'
_cell_length_a 6.014
_cell_length_b 6.014
_cell_length_c 9.678
_cell_angle_alpha 90.00
_cell_angle_beta 90.00
_cell_angle_gamma 90.00
_symmetry_space_group_name_H-M 'I -4 2 d'
_symmetry_Int_Tables_number 122
_symmetry_space_group_name_Hall 'I -4 2bw'
loop_
_atom_site_label
_atom_site_type_symbol
_atom_site_fract_x
_atom_site_fract_y
_atom_site_fract_z
Tc1 Tc 0.000 0.000 0.000
Mo1 Mo 0.246 0.250 0.125
Se1 Se 0.000 0.000 0.500
```

Computed properties:
Size of the total moment, μB per formula unit: 0.0
Total DFT energy (no corrections), Ha/atom: -0.2920
Formation energy (no corrections), eV per atom: 0.933

***

Record 12
# TcMo2Se

Crystalline TcMo2Se at its relaxed geometry (PBE, Alexandria via LeMat-Bulk).

Structure (CIF):
```
data_TcMo2Se
_chemical_formula_sum 'Tc2 Mo4 Se2'
_cell_length_a 3.165
_cell_length_b 4.645
_cell_length_c 8.813
_cell_angle_alpha 90.00
_cell_angle_beta 90.00
_cell_angle_gamma 90.00
_symmetry_space_group_name_H-M 'C m m 2'
_symmetry_Int_Tables_number 35
_symmetry_space_group_name_Hall 'C 2 -2'
loop_
_atom_site_label
_atom_site_type_symbol
_atom_site_fract_x
_atom_site_fract_y
_atom_site_fract_z
Tc1 Tc 0.000 0.000 0.000
Mo1 Mo 0.000 0.000 0.520
Mo2 Mo 0.000 0.500 0.765
Se1 Se 0.000 0.500 0.267
```

Computed properties:
Size of the total moment, μB per formula unit: 0.0
Total DFT energy (no corrections), Ha/atom: -0.3124
Formation energy (no corrections), eV per atom: 0.377

***

The highest total DFT energy (no corrections) belongs to which entry?
TcMoSe4

***

formation energy (no corrections) of number 6 (Tc4MoSe)?
0.617 eV per atom

***

Look up the total DFT energy (no corrections) of the third one.
-0.3198 Ha/atom